No. 1
Ba2Ag3Pb4Au: relaxed, PBE.

Fermi-level density of states in states/eV/cell: 5.73
E_form in kJ/mol of atoms: -29.0
Electronic total energy in eV per atom: -3.3516
Space group: P-4m2, No. 115

The structure in POSCAR format:
```
Ba2Ag3Pb4Au
1.0
5.017 0.000 0.000
0.000 5.017 0.000
0.000 0.000 11.760
Pb Ag Ba Au
4 3 2 1
direct
0.500 0.500 0.000 Pb
0.000 0.500 0.376 Pb
0.000 0.000 0.000 Pb
0.500 0.000 0.624 Pb
0.500 0.000 0.865 Ag
0.000 0.000 0.500 Ag
0.000 0.500 0.135 Ag
0.000 0.500 0.738 Ba
0.500 0.000 0.262 Ba
0.500 0.500 0.500 Au
```

---

No. 2
Rb2ZnRu2: relaxed, PBE.

Energy relative to the lowest polymorph listed for this composition in kJ/mol of formula units: 0
Fermi-level density of states in states/eV/cell: 5.20
E_form in kJ/mol of atoms: 71.4
Electronic total energy in eV per atom: -3.6117
Space group: I4/mmm, No. 139

The structure in POSCAR format:
```
Rb2ZnRu2
1.0
-2.947 1.298 -1.387
-0.795 -3.167 -1.276
-7.719 -3.505 8.690
Rb Ru Zn
2 2 1
direct
0.621 0.621 0.759 Rb
0.379 0.379 0.241 Rb
0.750 0.250 0.500 Ru
0.250 0.750 0.500 Ru
0.000 0.000 0.000 Zn
```

---

No. 3
Na2Cd5Ag2Pd: relaxed, PBE.

Fermi-level density of states in states/eV/cell: 5.80
E_form in kJ/mol of atoms: -13.7
Electronic total energy in eV per atom: -1.9525
Space group: P4/mbm, No. 127

The structure in POSCAR format:
```
Na2Cd5Ag2Pd
1.0
3.258 0.000 0.000
0.000 11.794 0.000
0.000 0.000 11.794
Pd Cd Na Ag
2 10 4 4
direct
0.000 0.000 0.000 Pd
0.000 0.500 0.500 Pd
0.500 0.941 0.182 Cd
0.500 0.500 0.000 Cd
0.500 0.818 0.941 Cd
0.500 0.559 0.682 Cd
0.500 0.318 0.559 Cd
0.500 0.000 0.500 Cd
0.500 0.182 0.059 Cd
0.500 0.682 0.441 Cd
0.500 0.059 0.818 Cd
0.500 0.441 0.318 Cd
0.000 0.326 0.826 Na
0.000 0.174 0.326 Na
0.000 0.826 0.674 Na
0.000 0.674 0.174 Na
0.000 0.138 0.638 Ag
0.000 0.362 0.138 Ag
0.000 0.638 0.862 Ag
0.000 0.862 0.362 Ag
```

---

No. 4
Ho3CdH: relaxed, PBE.

Fermi-level density of states in states/eV/cell: 6.48
Electronic total energy in eV per atom: -3.8159
Space group: Pm-3m, No. 221

The structure in POSCAR format:
```
Ho3CdH
1.0
4.828 0.000 0.000
0.000 4.828 0.000
0.000 0.000 4.828
H Cd Ho
1 1 3
direct
0.000 0.000 0.000 H
0.500 0.500 0.500 Cd
0.000 0.500 0.000 Ho
0.500 0.000 0.000 Ho
0.000 0.000 0.500 Ho
```

---

No. 5
Ce3Hg6Pb2: relaxed, PBE.

Fermi-level density of states in states/eV/cell: 22.04
E_form in kJ/mol of atoms: 9.3
Electronic total energy in eV per atom: -2.3607
Space group: I4/mmm, No. 139

The structure in POSCAR format:
```
Ce3Hg6Pb2
1.0
5.930 0.000 0.000
0.000 5.930 0.000
-2.965 -2.965 10.789
Hg Pb Ce
6 2 3
direct
0.715 0.715 0.429 Hg
0.076 0.576 0.152 Hg
0.576 0.076 0.152 Hg
0.285 0.285 0.571 Hg
0.924 0.424 0.848 Hg
0.424 0.924 0.848 Hg
0.426 0.426 0.853 Pb
0.574 0.574 0.147 Pb
0.141 0.141 0.281 Ce
0.000 0.000 0.000 Ce
0.859 0.859 0.719 Ce
```

---

No. 6
Ba2CoTeN: relaxed, PBE.

Fermi-level density of states in states/eV/cell: 2.46
Electronic total energy in eV per atom: -5.2421
Formation energy (no corrections) in eV/atom: -0.758
Space group: P4/mmm, No. 123

The structure in POSCAR format:
```
Ba2CoTeN
1.0
5.972 0.000 0.000
0.000 5.972 0.000
0.000 0.000 3.655
Ba N Co Te
2 1 1 1
direct
0.000 0.500 0.000 Ba
0.500 0.000 0.000 Ba
0.000 0.000 0.000 N
0.000 0.000 0.500 Co
0.500 0.500 0.500 Te
```

---

No. 7
Sr3HgC: relaxed, PBE.

Energy relative to the lowest polymorph listed for this composition in kJ/mol of formula units: 0
Fermi-level density of states in states/eV/cell: 7.37
E_form in kJ/mol of atoms: 14.3
Electronic total energy in eV per atom: -2.7658
Space group: Pm-3m, No. 221

The structure in POSCAR format:
```
Sr3HgC
1.0
-0.037 5.452 -0.107
-3.208 0.065 4.409
4.409 0.092 3.207
Sr C Hg
3 1 1
direct
0.000 0.000 0.500 Sr
0.000 0.500 0.000 Sr
0.500 0.000 0.000 Sr
0.000 0.000 0.000 C
0.500 0.500 0.500 Hg
```

---

No. 8
PaHg2PtO8: relaxed, PBE.

Fermi-level density of states in states/eV/cell: 6.16
Electronic total energy in eV per atom: -5.4671
Formation energy (no corrections) in eV/atom: -0.817
Space group: I-4m2, No. 119

The structure in POSCAR format:
```
PaHg2PtO8
1.0
6.112 1.002 0.000
-1.813 5.922 0.000
-2.149 -3.462 4.664
O Hg Pa Pt
8 2 1 1
direct
0.961 0.266 0.305 O
0.531 0.735 0.796 O
0.961 0.656 0.695 O
0.734 0.039 0.695 O
0.940 0.735 0.204 O
0.265 0.060 0.796 O
0.344 0.039 0.305 O
0.265 0.469 0.204 O
0.750 0.250 0.500 Hg
0.500 0.500 0.000 Hg
0.000 0.000 0.000 Pa
0.250 0.750 0.500 Pt
```